Entry 1:
# Li2TlHg | Alexandria via LeMat-Bulk | PBE | optimized geometry
# ΔE_f (eV per atom): -0.14
# Density of states at the Fermi level (states/eV per cell): 1.653
# Density (Mg/m³): 7.7
# Symmetry: R3m
# Total energy (eV per atom): -1.767
# Magnetization (μB per formula unit): 0.000
data_Li2TlHg
_chemical_formula_sum 'Li2 Tl1 Hg1'
_cell_length_a 7.017
_cell_length_b 7.017
_cell_length_c 7.017
_cell_angle_alpha 32.73
_cell_angle_beta 32.73
_cell_angle_gamma 32.73
_symmetry_space_group_name_H-M 'P 1'
_symmetry_Int_Tables_number 1
_symmetry_space_group_name_Hall 'P 1'
loop_
_atom_site_label
_atom_site_fract_x
_atom_site_fract_y
_atom_site_fract_z
_atom_site_occupancy
Li1 0.000 0.000 0.000 1
Li2 0.183 0.183 0.183 1
Tl1 0.762 0.762 0.762 1
Hg1 0.588 0.588 0.588 1


Entry 2:
# LiUSiO5 | Alexandria via LeMat-Bulk | PBE | optimized geometry
# Formation energy without anion corrections (kJ/mol of atoms): -277.7
# Density (Mg/m³): 5.1
# Symmetry: C2/c
# Total energy (eV per atom): -8.305
# Magnetization (μB per formula unit): 1.000
data_LiUSiO5
_chemical_formula_sum 'Li2 U2 Si2 O10'
_cell_length_a 5.755
_cell_length_b 5.755
_cell_length_c 7.965
_cell_angle_alpha 109.79
_cell_angle_beta 109.79
_cell_angle_gamma 92.69
_symmetry_space_group_name_H-M 'P 1'
_symmetry_Int_Tables_number 1
_symmetry_space_group_name_Hall 'P 1'
loop_
_atom_site_label
_atom_site_fract_x
_atom_site_fract_y
_atom_site_fract_z
_atom_site_occupancy
Li1 0.174 0.826 0.750 1
Li2 0.826 0.174 0.250 1
U1 0.500 0.500 0.000 1
U2 0.500 0.500 0.500 1
Si1 0.140 0.860 0.250 1
Si2 0.860 0.140 0.750 1
O1 0.170 0.198 0.849 1
O2 0.198 0.170 0.349 1
O3 0.241 0.733 0.412 1
O4 0.267 0.759 0.088 1
O5 0.408 0.592 0.750 1
O6 0.592 0.408 0.250 1
O7 0.733 0.241 0.912 1
O8 0.759 0.267 0.588 1
O9 0.802 0.830 0.651 1
O10 0.830 0.802 0.151 1


Entry 3:
# Tb3Pm12Sc | Alexandria via LeMat-Bulk | PBE | optimized geometry
# ΔE_f (eV per atom): 0.02
# Density of states at the Fermi level (states/eV per cell): 23.948
# Density (Mg/m³): 7.1
# Symmetry: P4/mmm
# Total energy (eV per atom): -4.805
# Magnetization (μB per formula unit): 0.000
data_Tb3Pm12Sc
_chemical_formula_sum 'Tb3 Pm12 Sc1'
_cell_length_a 5.108
_cell_length_b 5.108
_cell_length_c 20.383
_cell_angle_alpha 90.00
_cell_angle_beta 90.00
_cell_angle_gamma 90.00
_symmetry_space_group_name_H-M 'P 1'
_symmetry_Int_Tables_number 1
_symmetry_space_group_name_Hall 'P 1'
loop_
_atom_site_label
_atom_site_fract_x
_atom_site_fract_y
_atom_site_fract_z
_atom_site_occupancy
Tb1 0.000 0.000 0.000 1
Tb2 0.000 0.000 0.253 1
Tb3 0.000 0.000 0.747 1
Pm1 0.000 0.500 0.126 1
Pm2 0.000 0.500 0.379 1
Pm3 0.000 0.500 0.621 1
Pm4 0.000 0.500 0.874 1
Pm5 0.500 0.000 0.126 1
Pm6 0.500 0.000 0.379 1
Pm7 0.500 0.000 0.621 1
Pm8 0.500 0.000 0.874 1
Pm9 0.500 0.500 0.000 1
Pm10 0.500 0.500 0.253 1
Pm11 0.500 0.500 0.500 1
Pm12 0.500 0.500 0.747 1
Sc1 0.000 0.000 0.500 1


Entry 4:
# Zr5CO | Alexandria via LeMat-Bulk | PBE | optimized geometry
# Density of states at the Fermi level (states/eV per cell): 10.800
# Formation energy without anion corrections (kJ/mol of atoms): -74.2
# Density (Mg/m³): 6.2
# Symmetry: C2/c
# Total energy (eV per atom): -8.900
# Magnetization (μB per formula unit): 0.000
data_Zr5CO
_chemical_formula_sum 'Zr10 C2 O2'
_cell_length_a 6.064
_cell_length_b 6.064
_cell_length_c 8.975
_cell_angle_alpha 114.51
_cell_angle_beta 114.51
_cell_angle_gamma 64.81
_symmetry_space_group_name_H-M 'P 1'
_symmetry_Int_Tables_number 1
_symmetry_space_group_name_Hall 'P 1'
loop_
_atom_site_label
_atom_site_fract_x
_atom_site_fract_y
_atom_site_fract_z
_atom_site_occupancy
Zr1 0.112 0.888 0.750 1
Zr2 0.166 0.318 0.682 1
Zr3 0.226 0.617 0.054 1
Zr4 0.318 0.166 0.182 1
Zr5 0.383 0.774 0.446 1
Zr6 0.617 0.226 0.554 1
Zr7 0.682 0.834 0.818 1
Zr8 0.774 0.383 0.946 1
Zr9 0.834 0.682 0.318 1
Zr10 0.888 0.112 0.250 1
C1 0.000 0.000 0.000 1
C2 0.000 0.000 0.500 1
O1 0.443 0.557 0.750 1
O2 0.557 0.443 0.250 1


Entry 5:
# Nb2AlRhF | Alexandria via LeMat-Bulk | PBE | optimized geometry
# Density of states at the Fermi level (states/eV per cell): 5.567
# Formation energy without anion corrections (kJ/mol of atoms): 93.3
# Density (Mg/m³): 5.5
# Symmetry: P4/mmm
# Total energy (eV per atom): -5.654
# Magnetization (μB per formula unit): 0.000
data_Nb2AlRhF
_chemical_formula_sum 'Nb2 Al1 Rh1 F1'
_cell_length_a 4.848
_cell_length_b 4.848
_cell_length_c 4.314
_cell_angle_alpha 90.00
_cell_angle_beta 90.00
_cell_angle_gamma 90.00
_symmetry_space_group_name_H-M 'P 1'
_symmetry_Int_Tables_number 1
_symmetry_space_group_name_Hall 'P 1'
loop_
_atom_site_label
_atom_site_fract_x
_atom_site_fract_y
_atom_site_fract_z
_atom_site_occupancy
Nb1 0.000 0.500 0.000 1
Nb2 0.500 0.000 0.000 1
Al1 0.000 0.000 0.000 1
Rh1 0.000 0.000 0.500 1
F1 0.500 0.500 0.500 1


Entry 6:
# SiSnPd5 | Alexandria via LeMat-Bulk | PBE | optimized geometry
# Density of states at the Fermi level (states/eV per cell): 0.849
# Formation energy without anion corrections (kJ/mol of atoms): -58.3
# Density (Mg/m³): 10.0
# Symmetry: P4/mmm
# Total energy (eV per atom): -5.660
# Magnetization (μB per formula unit): 0.000
data_SiSnPd5
_chemical_formula_sum 'Si1 Sn1 Pd5'
_cell_length_a 4.012
_cell_length_b 4.012
_cell_length_c 6.992
_cell_angle_alpha 90.00
_cell_angle_beta 90.00
_cell_angle_gamma 90.00
_symmetry_space_group_name_H-M 'P 1'
_symmetry_Int_Tables_number 1
_symmetry_space_group_name_Hall 'P 1'
loop_
_atom_site_label
_atom_site_fract_x
_atom_site_fract_y
_atom_site_fract_z
_atom_site_occupancy
Si1 0.000 0.000 0.000 1
Sn1 0.500 0.500 0.500 1
Pd1 0.000 0.000 0.500 1
Pd2 0.000 0.500 0.204 1
Pd3 0.000 0.500 0.796 1
Pd4 0.500 0.000 0.204 1
Pd5 0.500 0.000 0.796 1


Entry 7:
# In2TcW | Alexandria via LeMat-Bulk | PBE | optimized geometry
# ΔE_f (eV per atom): 0.72
# Density of states at the Fermi level (states/eV per cell): 5.011
# Density (Mg/m³): 11.9
# Symmetry: Fm-3m
# Total energy (eV per atom): -6.477
# Magnetization (μB per formula unit): 1.165
data_In2TcW
_chemical_formula_sum 'In2 Tc1 W1'
_cell_length_a 4.661
_cell_length_b 4.661
_cell_length_c 4.661
_cell_angle_alpha 60.00
_cell_angle_beta 60.00
_cell_angle_gamma 60.00
_symmetry_space_group_name_H-M 'P 1'
_symmetry_Int_Tables_number 1
_symmetry_space_group_name_Hall 'P 1'
loop_
_atom_site_label
_atom_site_fract_x
_atom_site_fract_y
_atom_site_fract_z
_atom_site_occupancy
In1 0.250 0.250 0.250 1
In2 0.750 0.750 0.750 1
Tc1 0.000 0.000 0.000 1
W1 0.500 0.500 0.500 1